{"formula": "Ba5PmSb4", "functional": "PBE", "state": "optimized geometry", "final_energy_ev_per_atom": -3.97, "cell": [[11.0939, -2.5049, 0.0000], [11.0939, 2.5049, 0.0000], [-3.7680, 0.0000, 8.3420]], "species": ["Ba", "Ba", "Ba", "Ba", "Ba", "Pm", "Sb", "Sb", "Sb", "Sb"], "frac_coords": [[0.0000, 0.0000, 0.0000], [0.3341, 0.3341, 0.0848], [0.3339, 0.3339, 0.5823], [0.6661, 0.6661, 0.4177], [0.6659, 0.6659, 0.9152], [0.0000, 0.0000, 0.5000], [0.1871, 0.1871, 0.6874], [0.5001, 0.5001, 0.2690], [0.4999, 0.4999, 0.7310], [0.8129, 0.8129, 0.3126]]}

=====

{"formula": "BaPmSb2", "functional": "PBE", "state": "optimized geometry", "final_energy_ev_per_atom": -4.69, "polymorph_energy_mev_per_atom": 0, "cell": [[2.3202, 1.3396, 8.0742], [-2.3202, 1.3396, 8.0742], [0.0000, -2.6791, 8.0742]], "species": ["Ba", "Pm", "Sb", "Sb"], "frac_coords": [[0.0000, 0.0000, 0.0000], [0.5000, 0.5000, 0.5000], [0.2390, 0.2390, 0.2390], [0.7610, 0.7610, 0.7610]]}

=====

{"formula": "BaPm3Sb3", "functional": "PBE", "state": "optimized geometry", "final_energy_ev_per_atom": -4.86, "cell": [[4.5271, 2.6137, 8.1505], [-4.5271, 2.6137, 8.1505], [0.0000, -5.2274, 8.1505]], "species": ["Ba", "Ba", "Pm", "Pm", "Pm", "Pm", "Pm", "Pm", "Sb", "Sb", "Sb", "Sb", "Sb", "Sb"], "frac_coords": [[0.1670, 0.1670, 0.1670], [0.8330, 0.8330, 0.8330], [0.0850, 0.6830, 0.3818], [0.3170, 0.6182, 0.9150], [0.3818, 0.0850, 0.6830], [0.6182, 0.9150, 0.3170], [0.6830, 0.3818, 0.0850], [0.9150, 0.3170, 0.6182], [0.0501, 0.4121, 0.7788], [0.2212, 0.9499, 0.5879], [0.4121, 0.7788, 0.0501], [0.5879, 0.2212, 0.9499], [0.7788, 0.0501, 0.4121], [0.9499, 0.5879, 0.2212]]}

=====

{"formula": "BaPmSb2", "functional": "PBE", "state": "optimized geometry", "final_energy_ev_per_atom": -4.51, "polymorph_energy_mev_per_atom": 184, "cell": [[0.0000, 4.0511, 4.0511], [4.0511, 0.0000, 4.0511], [4.0511, 4.0511, 0.0000]], "species": ["Ba", "Pm", "Sb", "Sb"], "frac_coords": [[0.0000, 0.0000, 0.0000], [0.5000, 0.5000, 0.5000], [0.2500, 0.2500, 0.2500], [0.7500, 0.7500, 0.7500]]}

=====

{"formula": "BaPm2Sc", "functional": "PBE", "state": "optimized geometry", "delta_e_f_mev_per_atom": 245.9, "final_energy_ev_per_atom": -4.19, "polymorph_energy_mev_per_atom": 119, "cell": [[1.8062, 1.0428, 12.7407], [-1.8062, 1.0428, 12.7407], [0.0000, -2.0856, 12.7407]], "species": ["Ba", "Pm", "Pm", "Sc"], "frac_coords": [[0.0000, 0.0000, 0.0000], [0.0964, 0.0964, 0.0964], [0.9036, 0.9036, 0.9036], [0.5000, 0.5000, 0.5000]]}

=====

{"formula": "BaPmSc", "functional": "PBE", "state": "optimized geometry", "delta_e_f_mev_per_atom": 99.8, "final_energy_ev_per_atom": -4.24, "cell": [[2.7820, -2.7817, 0.0000], [2.7820, 2.7817, 0.0000], [-0.0365, 0.0000, 14.9427]], "species": ["Ba", "Ba", "Pm", "Pm", "Sc", "Sc"], "frac_coords": [[0.2464, 0.2464, 0.1206], [0.7536, 0.7536, 0.8794], [0.2514, 0.2514, 0.6809], [0.7486, 0.7486, 0.3191], [0.2497, 0.2497, 0.4500], [0.7503, 0.7503, 0.5500]]}

=====

{"formula": "BaPm2Sc", "functional": "PBE", "state": "optimized geometry", "delta_e_f_mev_per_atom": 126.5, "final_energy_ev_per_atom": -4.31, "polymorph_energy_mev_per_atom": 0, "cell": [[3.9443, 0.0000, 0.0000], [0.0000, 3.9443, 0.0000], [0.0000, 0.0000, 9.6211]], "species": ["Ba", "Pm", "Pm", "Sc"], "frac_coords": [[0.0000, 0.0000, 0.0000], [0.5000, 0.5000, 0.3090], [0.5000, 0.5000, 0.6910], [0.0000, 0.0000, 0.5000]]}

=====

{"formula": "BaPm4Se5", "functional": "PBE", "state": "optimized geometry", "final_energy_ev_per_atom": -5.68, "cell": [[7.1548, -2.1260, 0.0000], [7.1548, 2.1260, 0.0000], [-5.2196, 0.0000, 9.1567]], "species": ["Ba", "Pm", "Pm", "Pm", "Pm", "Se", "Se", "Se", "Se", "Se"], "frac_coords": [[0.0000, 0.0000, 0.0000], [0.1984, 0.1984, 0.7836], [0.4064, 0.4064, 0.5987], [0.5936, 0.5936, 0.4013], [0.8016, 0.8016, 0.2164], [0.0000, 0.0000, 0.5000], [0.2032, 0.2032, 0.3160], [0.3859, 0.3859, 0.1051], [0.6141, 0.6141, 0.8949], [0.7968, 0.7968, 0.6840]]}

=====

{"formula": "Ba2PmSe3", "functional": "PBE", "state": "optimized geometry", "final_energy_ev_per_atom": -5.12, "polymorph_energy_mev_per_atom": 0, "cell": [[0.0000, 6.3962, 13.4850], [4.5393, 0.0000, 13.4850], [4.5393, 6.3962, 0.0000]], "species": ["Ba", "Ba", "Ba", "Ba", "Ba", "Ba", "Ba", "Ba", "Pm", "Pm", "Pm", "Pm", "Se", "Se", "Se", "Se", "Se", "Se", "Se", "Se", "Se", "Se", "Se", "Se"], "frac_coords": [[0.0439, 0.0439, 0.2061], [0.1225, 0.1225, 0.6275], [0.2061, 0.2061, 0.0439], [0.3725, 0.3725, 0.8775], [0.6275, 0.6275, 0.1225], [0.7939, 0.7939, 0.9561], [0.8775, 0.8775, 0.3725], [0.9561, 0.9561, 0.7939], [0.2914, 0.2914, 0.4586], [0.4586, 0.4586, 0.2914], [0.5414, 0.5414, 0.7086], [0.7086, 0.7086, 0.5414], [0.0366, 0.5376, 0.2378], [0.1520, 0.5980, 0.5980], [0.2378, 0.6880, 0.0366], [0.3120, 0.7622, 0.4624], [0.4020, 0.8480, 0.8480], [0.4624, 0.9634, 0.3120], [0.5376, 0.0366, 0.6880], [0.5980, 0.1520, 0.1520], [0.6880, 0.2378, 0.5376], [0.7622, 0.3120, 0.9634], [0.8480, 0.4020, 0.4020], [0.9634, 0.4624, 0.7622]]}

=====

{"formula": "Ba2PmSe3", "functional": "PBE", "state": "optimized geometry", "final_energy_ev_per_atom": -4.96, "polymorph_energy_mev_per_atom": 156, "cell": [[-2.1846, 2.7812, 8.7564], [2.1846, -2.7812, 8.7564], [2.1846, 2.7812, -8.7564]], "species": ["Ba", "Ba", "Pm", "Se", "Se", "Se"], "frac_coords": [[0.1497, 0.1497, 0.0000], [0.8503, 0.8503, 0.0000], [0.5000, 0.5000, 0.0000], [0.0000, 0.5000, 0.5000], [0.3350, 0.3350, 0.0000], [0.6650, 0.6650, 0.0000]]}

=====

{"formula": "Ba3PmSe4", "functional": "PBE", "state": "optimized geometry", "final_energy_ev_per_atom": -5.01, "cell": [[4.6018, -6.4609, 0.0000], [4.6018, 6.4609, 0.0000], [0.0000, 0.0000, 4.5398]], "species": ["Ba", "Ba", "Ba", "Pm", "Se", "Se", "Se", "Se"], "frac_coords": [[0.0000, 0.0000, 0.0000], [0.0000, 0.5000, 0.5000], [0.5000, 0.0000, 0.5000], [0.5000, 0.5000, 0.0000], [0.2645, 0.7355, 0.0000], [0.2735, 0.2735, 0.5000], [0.7265, 0.7265, 0.5000], [0.7355, 0.2645, 0.0000]]}

=====

{"formula": "BaPm3Se7", "functional": "PBE", "state": "optimized geometry", "final_energy_ev_per_atom": -5.21, "cell": [[5.5629, -5.3822, 0.0000], [5.5629, 5.3822, 0.0000], [-4.7960, 0.0000, 5.7172]], "species": ["Ba", "Pm", "Pm", "Pm", "Se", "Se", "Se", "Se", "Se", "Se", "Se"], "frac_coords": [[0.0000, 0.0000, 0.0000], [0.2783, 0.7217, 0.5000], [0.5000, 0.5000, 0.0000], [0.7217, 0.2783, 0.5000], [0.0000, 0.0000, 0.5000], [0.1247, 0.5961, 0.7396], [0.3500, 0.3500, 0.1971], [0.4039, 0.8753, 0.2604], [0.5961, 0.1247, 0.7396], [0.6500, 0.6500, 0.8029], [0.8753, 0.4039, 0.2604]]}

=====

Number 10 is which compound? Ba2PmSe3